The following is a PBEsol calculation of a relaxed MnTc2Au crystal, from Alexandria.

Properties
For the magnetic moment, the calculation gives 2.248 μB/cell. As for the formation enthalpy at 0 K: 128 kJ/mol of formula units. The calculation puts the volume at 57 Å³/f.u.

Cell lengths 5.273, 5.273, 5.273 Å; angles 147.96, 132.08, 58.81 degrees
Sites, in units of the cell vectors:
Mn1 0.000 0.000 0.000
Tc1 0.218 0.718 0.500
Tc2 0.782 0.282 0.500
Au1 0.500 0.500 0.000